VASP calculation (GGA-PBE) on a relaxed HfCoAs2 crystal.

Results
ΔH_f (0 K), eV/atom: -0.1182
Mass density, g/cm³: 8.9
Energy, eV per formula unit: -26.831
Spin magnetization, μB per formula unit: 0.00
Space-group type: I-42d, No. 122

Lattice parameters (Å, degrees): 8.701 8.701 8.701 152.11 152.11 39.85
Fractional coordinates of all 8 atoms:
Hf  0.000  0.000  0.000
Hf  0.750  0.250  0.500
Co  0.250  0.750  0.500
Co  0.500  0.500  0.000
As  0.183  0.625  0.058
As  0.375  0.433  0.558
As  0.567  0.125  0.942
As  0.875  0.817  0.442

***

VASP calculation (GGA-PBE) on a relaxed HfCoAs crystal.

Results
ΔH_f (0 K), eV/atom: -0.8199
Mass density, g/cm³: 11.6
Energy, eV per formula unit: -24.169
Spin magnetization, μB per formula unit: 0.00
Space-group type: Pnma, No. 62

Lattice parameters (Å, degrees): 6.469 3.823 7.258 90.00 90.00 90.00
Fractional coordinates of all 12 atoms:
Hf  0.020  0.250  0.187
Hf  0.480  0.750  0.687
Hf  0.520  0.250  0.313
Hf  0.980  0.750  0.813
Co  0.139  0.250  0.564
Co  0.361  0.750  0.064
Co  0.639  0.250  0.936
Co  0.861  0.750  0.436
As  0.232  0.750  0.384
As  0.268  0.250  0.884
As  0.732  0.750  0.116
As  0.768  0.250  0.616

***

VASP calculation (GGA-PBE) on a relaxed Hf8Co2As crystal.

Results
ΔH_f (0 K), eV/atom: -0.1604
Mass density, g/cm³: 12.1
Energy, eV per formula unit: -100.253
Spin magnetization, μB per formula unit: 0.00
Space-group type: C2/m, No. 12

Lattice parameters (Å, degrees): 7.128 7.128 5.139 99.54 99.54 116.39
Fractional coordinates of all 11 atoms:
Hf  0.091  0.336  0.567
Hf  0.246  0.754  0.000
Hf  0.336  0.091  0.567
Hf  0.396  0.396  0.184
Hf  0.604  0.604  0.816
Hf  0.664  0.909  0.433
Hf  0.754  0.246  0.000
Hf  0.909  0.664  0.433
Co  0.291  0.709  0.500
Co  0.709  0.291  0.500
As  0.000  0.000  0.000

***

VASP calculation (GGA-PBE) on a relaxed Li2HfCoAs crystal.

Results
ΔH_f (0 K), eV/atom: 1.2912
Mass density, g/cm³: 4.7
Energy, eV per formula unit: -19.081
Spin magnetization, μB per formula unit: 1.51
Space-group type: P4/mmm, No. 123

Lattice parameters (Å, degrees): 4.885 4.885 4.855 90.00 90.00 90.00
Fractional coordinates of all 5 atoms:
Li  0.000  0.500  0.000
Li  0.500  0.000  0.000
Hf  0.000  0.000  0.000
Co  0.500  0.500  0.500
As  0.000  0.000  0.500

***

VASP calculation (GGA-PBE) on a relaxed HfCoMoAs2 crystal.

Results
ΔH_f (0 K), eV/atom: 0.9496
Mass density, g/cm³: 6.9
Energy, eV per formula unit: -32.442
Spin magnetization, μB per formula unit: 1.81
Space-group type: P4/mmm, No. 123

Lattice parameters (Å, degrees): 4.760 4.760 5.130 90.00 90.00 90.00
Fractional coordinates of all 5 atoms:
Hf  0.000  0.000  0.000
Co  0.500  0.500  0.000
Mo  0.000  0.000  0.500
As  0.000  0.500  0.500
As  0.500  0.000  0.500